(1)
V3O4F2 after structural relaxation. Source: the Alexandria database, functional PBEsol.

Properties
ΔE to the lowest computed polymorph in meV per atom: 20
Raw formation energy in eV per atom: -2.503

CIF file:
```
data_V3O4F2
_cell_length_a 4.554
_cell_length_b 4.554
_cell_length_c 8.883
_cell_angle_alpha 90.00
_cell_angle_beta 90.00
_cell_angle_gamma 90.00
_space_group_name_H-M_alt 'P 42/m n m'
_space_group_IT_number 136
_space_group_name_Hall '-P 4n 2n'
loop_
_atom_site_label
_atom_site_type_symbol
_atom_site_fract_x
_atom_site_fract_y
_atom_site_fract_z
_atom_site_occupancy
V1 V 0.000 0.000 0.000 1
V2 V 0.000 0.000 0.311 1
O1 O 0.204 0.204 0.162 1
F1 F 0.193 0.193 0.500 1
```


(2)
V3O4F2 after structural relaxation. Source: the Alexandria database, functional PBEsol.

Properties
ΔE to the lowest computed polymorph in meV per atom: 0
Raw formation energy in eV per atom: -2.522

CIF file:
```
data_V3O4F2
_cell_length_a 6.492
_cell_length_b 6.501
_cell_length_c 8.797
_cell_angle_alpha 90.00
_cell_angle_beta 90.78
_cell_angle_gamma 90.00
_space_group_name_H-M_alt 'C 1 2 1'
_space_group_IT_number 5
loop_
_space_group_symop_operation_xyz
'x,y,z'
'-x,y,-z'
'x+1/2,y+1/2,z'
'-x+1/2,y+1/2,-z'
loop_
_atom_site_label
_atom_site_type_symbol
_atom_site_fract_x
_atom_site_fract_y
_atom_site_fract_z
_atom_site_occupancy
V1 V 0.000 0.000 0.000 1
V2 V 0.000 0.500 0.500 1
V3 V 0.016 0.461 0.154 1
V4 V 0.027 0.001 0.653 1
O1 O 0.000 0.178 0.169 1
O2 O 0.000 0.200 0.500 1
O3 O 0.000 0.792 0.500 1
O4 O 0.190 0.491 0.330 1
O5 O 0.204 0.480 0.999 1
F1 F 0.006 0.784 0.829 1
F2 F 0.205 0.488 0.671 1
```


(3)
V3O5F after structural relaxation. Source: the Alexandria database, functional PBEsol.

Properties
ΔE to the lowest computed polymorph in meV per atom: 21
Raw formation energy in eV per atom: -2.456

CIF file:
```
data_V3O5F
_cell_length_a 8.686
_cell_length_b 6.357
_cell_length_c 7.201
_cell_angle_alpha 90.00
_cell_angle_beta 115.58
_cell_angle_gamma 90.00
_space_group_name_H-M_alt 'C 1 2/m 1'
_space_group_IT_number 12
loop_
_space_group_symop_operation_xyz
'x,y,z'
'-x,-y,-z'
'-x,y,-z'
'x,-y,z'
'x+1/2,y+1/2,z'
'-x+1/2,-y+1/2,-z'
'-x+1/2,y+1/2,-z'
'x+1/2,-y+1/2,z'
loop_
_atom_site_label
_atom_site_type_symbol
_atom_site_fract_x
_atom_site_fract_y
_atom_site_fract_z
_atom_site_occupancy
V1 V 0.000 0.000 0.000 1
V2 V 0.000 0.000 0.500 1
V3 V 0.159 0.500 0.180 1
V4 V 0.166 0.500 0.645 1
O1 O 0.000 0.298 0.000 1
O2 O 0.066 0.500 0.364 1
O3 O 0.102 0.000 0.300 1
O4 O 0.168 0.201 0.668 1
F1 F 0.237 0.000 0.033 1
```


(4)
V4O3F5 after structural relaxation. Source: the Alexandria database, functional PBEsol.

Properties
Raw formation energy in eV per atom: -2.484

CIF file:
```
data_V4O3F5
_cell_length_a 6.040
_cell_length_b 6.820
_cell_length_c 6.414
_cell_angle_alpha 90.00
_cell_angle_beta 90.00
_cell_angle_gamma 90.00
_space_group_name_H-M_alt 'I m m 2'
_space_group_IT_number 44
loop_
_space_group_symop_operation_xyz
'x,y,z'
'-x,-y,z'
'-x,y,z'
'x,-y,z'
'x+1/2,y+1/2,z+1/2'
'-x+1/2,-y+1/2,z+1/2'
'-x+1/2,y+1/2,z+1/2'
'x+1/2,-y+1/2,z+1/2'
loop_
_atom_site_label
_atom_site_type_symbol
_atom_site_fract_x
_atom_site_fract_y
_atom_site_fract_z
_atom_site_occupancy
V1 V 0.000 0.000 0.000 1
V2 V 0.000 0.500 0.463 1
V3 V 0.232 0.500 0.959 1
O1 O 0.000 0.000 0.293 1
O2 O 0.000 0.500 0.170 1
O3 O 0.000 0.500 0.758 1
F1 F 0.000 0.000 0.679 1
F2 F 0.246 0.199 0.972 1
```


(5)
V3OF11 after structural relaxation. Source: the Alexandria database, functional PBEsol.

Properties
ΔE to the lowest computed polymorph in meV per atom: 39
Raw formation energy in eV per atom: -2.700

CIF file:
```
data_V3OF11
_cell_length_a 5.039
_cell_length_b 5.242
_cell_length_c 14.800
_cell_angle_alpha 79.90
_cell_angle_beta 89.76
_cell_angle_gamma 88.78
_space_group_name_H-M_alt 'P -1'
_space_group_IT_number 2
loop_
_space_group_symop_operation_xyz
'x,y,z'
'-x,-y,-z'
loop_
_atom_site_label
_atom_site_type_symbol
_atom_site_fract_x
_atom_site_fract_y
_atom_site_fract_z
_atom_site_occupancy
V1 V 0.000 0.000 0.000 1
V2 V 0.008 0.664 0.666 1
V3 V 0.492 0.836 0.333 1
V4 V 0.500 0.500 0.000 1
O1 O 0.252 0.757 0.989 1
F1 F 0.090 0.983 0.116 1
F2 F 0.103 0.295 0.446 1
F3 F 0.112 0.619 0.779 1
F4 F 0.180 0.658 0.307 1
F5 F 0.195 0.985 0.640 1
F6 F 0.248 0.270 0.964 1
F7 F 0.306 0.159 0.302 1
F8 F 0.321 0.490 0.634 1
F9 F 0.392 0.812 0.447 1
F10 F 0.400 0.146 0.779 1
F11 F 0.409 0.404 0.116 1
```


(6)
V3O5F after structural relaxation. Source: the Alexandria database, functional PBEsol.

Properties
ΔE to the lowest computed polymorph in meV per atom: 1
Raw formation energy in eV per atom: -2.476

CIF file:
```
data_V3O5F
_cell_length_a 4.558
_cell_length_b 5.395
_cell_length_c 7.330
_cell_angle_alpha 96.17
_cell_angle_beta 90.17
_cell_angle_gamma 90.08
_space_group_name_H-M_alt 'P 1'
_space_group_IT_number 1
loop_
_space_group_symop_operation_xyz
'x,y,z'
loop_
_atom_site_label
_atom_site_type_symbol
_atom_site_fract_x
_atom_site_fract_y
_atom_site_fract_z
_atom_site_occupancy
V1 V 0.000 0.000 0.000 1
V2 V 0.000 0.343 0.297 1
V3 V 0.007 0.649 0.636 1
V4 V 0.455 0.176 0.658 1
V5 V 0.485 0.807 0.307 1
V6 V 0.497 0.509 0.968 1
O1 O 0.181 0.707 0.875 1
O2 O 0.190 0.361 0.543 1
O3 O 0.193 0.029 0.218 1
O4 O 0.282 0.197 0.879 1
O5 O 0.287 0.531 0.209 1
O6 O 0.303 0.868 0.545 1
O7 O 0.691 0.462 0.739 1
O8 O 0.691 0.801 0.078 1
O9 O 0.785 0.299 0.076 1
O10 O 0.791 0.630 0.410 1
F1 F 0.692 0.130 0.416 1
F2 F 0.791 0.968 0.746 1
```


(7)
V3O5F after structural relaxation. Source: the Alexandria database, functional PBEsol.

Properties
ΔE to the lowest computed polymorph in meV per atom: 33
Raw formation energy in eV per atom: -2.444

CIF file:
```
data_V3O5F
_cell_length_a 4.555
_cell_length_b 5.372
_cell_length_c 7.365
_cell_angle_alpha 83.86
_cell_angle_beta 88.51
_cell_angle_gamma 88.55
_space_group_name_H-M_alt 'P -1'
_space_group_IT_number 2
loop_
_space_group_symop_operation_xyz
'x,y,z'
'-x,-y,-z'
loop_
_atom_site_label
_atom_site_type_symbol
_atom_site_fract_x
_atom_site_fract_y
_atom_site_fract_z
_atom_site_occupancy
V1 V 0.000 0.000 0.000 1
V2 V 0.011 0.341 0.671 1
V3 V 0.473 0.829 0.642 1
V4 V 0.500 0.500 0.000 1
O1 O 0.198 0.697 0.097 1
O2 O 0.204 0.031 0.770 1
O3 O 0.204 0.367 0.432 1
O4 O 0.294 0.868 0.429 1
O5 O 0.306 0.539 0.765 1
F1 F 0.301 0.195 0.104 1
```


(8)
V4O3F9 after structural relaxation. Source: the Alexandria database, functional PBEsol.

Properties
ΔE to the lowest computed polymorph in meV per atom: 0
Raw formation energy in eV per atom: -2.771

CIF file:
```
data_V4O3F9
_cell_length_a 5.175
_cell_length_b 5.258
_cell_length_c 17.105
_cell_angle_alpha 89.04
_cell_angle_beta 81.64
_cell_angle_gamma 60.71
_space_group_name_H-M_alt 'P 1'
_space_group_IT_number 1
loop_
_space_group_symop_operation_xyz
'x,y,z'
loop_
_atom_site_label
_atom_site_type_symbol
_atom_site_fract_x
_atom_site_fract_y
_atom_site_fract_z
_atom_site_occupancy
V1 V 0.000 0.000 0.000 1
V2 V 0.020 0.470 0.496 1
V3 V 0.224 0.345 0.123 1
V4 V 0.249 0.882 0.617 1
V5 V 0.513 0.239 0.754 1
V6 V 0.540 0.693 0.243 1
V7 V 0.728 0.630 0.864 1
V8 V 0.792 0.059 0.375 1
O1 O 0.087 0.159 0.558 1
O2 O 0.089 0.155 0.072 1
O3 O 0.568 0.942 0.811 1
O4 O 0.593 0.429 0.821 1
O5 O 0.906 0.509 0.199 1
O6 O 0.956 0.781 0.433 1
F1 F 0.045 0.674 0.059 1
F2 F 0.090 0.453 0.785 1
F3 F 0.094 0.650 0.580 1
F4 F 0.098 0.919 0.286 1
F5 F 0.412 0.553 0.163 1
F6 F 0.418 0.776 0.954 1
F7 F 0.438 0.270 0.453 1
F8 F 0.442 0.054 0.664 1
F9 F 0.462 0.541 0.679 1
F10 F 0.464 0.031 0.183 1
F11 F 0.557 0.396 0.310 1
F12 F 0.583 0.192 0.037 1
F13 F 0.587 0.886 0.330 1
F14 F 0.601 0.675 0.538 1
F15 F 0.927 0.804 0.916 1
F16 F 0.933 0.031 0.704 1
F17 F 0.942 0.298 0.410 1
F18 F 0.954 0.294 0.929 1
```


(9)
V4O5F7 after structural relaxation. Source: the Alexandria database, functional PBEsol.

Properties
ΔE to the lowest computed polymorph in meV per atom: 80
Raw formation energy in eV per atom: -2.594

CIF file:
```
data_V4O5F7
_cell_length_a 5.310
_cell_length_b 5.142
_cell_length_c 7.284
_cell_angle_alpha 90.00
_cell_angle_beta 92.19
_cell_angle_gamma 90.00
_space_group_name_H-M_alt 'P 1 2 1'
_space_group_IT_number 3
loop_
_space_group_symop_operation_xyz
'x,y,z'
'-x,y,-z'
loop_
_atom_site_label
_atom_site_type_symbol
_atom_site_fract_x
_atom_site_fract_y
_atom_site_fract_z
_atom_site_occupancy
V1 V 0.031 0.000 0.245 1
V2 V 0.460 0.501 0.760 1
O1 O 0.211 0.681 0.713 1
O2 O 0.224 0.238 0.210 1
O3 O 0.500 0.545 0.000 1
F1 F 0.000 0.060 0.500 1
F2 F 0.000 0.868 0.000 1
F3 F 0.283 0.179 0.796 1
F4 F 0.287 0.745 0.300 1
F5 F 0.500 0.388 0.500 1
```


(10)
VOF3 after structural relaxation. Source: the Alexandria database, functional PBEsol.

Properties
Raw formation energy in eV per atom: -2.634

CIF file:
```
data_VOF3
_cell_length_a 4.942
_cell_length_b 5.514
_cell_length_c 9.211
_cell_angle_alpha 90.00
_cell_angle_beta 90.00
_cell_angle_gamma 90.00
_space_group_name_H-M_alt 'P 21 21 21'
_space_group_IT_number 19
loop_
_space_group_symop_operation_xyz
'x,y,z'
'-x+1/2,-y,z+1/2'
'x+1/2,-y+1/2,-z'
'-x,y+1/2,-z+1/2'
loop_
_atom_site_label
_atom_site_type_symbol
_atom_site_fract_x
_atom_site_fract_y
_atom_site_fract_z
_atom_site_occupancy
V1 V 0.137 0.071 0.143 1
O1 O 0.016 0.393 0.245 1
F1 F 0.065 0.858 0.734 1
F2 F 0.128 0.663 0.478 1
F3 F 0.224 0.134 0.524 1
```


(11)
V3O4F2 after structural relaxation. Source: the Alexandria database, functional PBEsol.

Properties
ΔE to the lowest computed polymorph in meV per atom: 8
Raw formation energy in eV per atom: -2.514

CIF file:
```
data_V3O4F2
_cell_length_a 4.596
_cell_length_b 4.598
_cell_length_c 9.822
_cell_angle_alpha 90.00
_cell_angle_beta 116.55
_cell_angle_gamma 90.00
_space_group_name_H-M_alt 'P 1 21/c 1'
_space_group_IT_number 14
loop_
_space_group_symop_operation_xyz
'x,y,z'
'-x,-y,-z'
'-x,y+1/2,-z+1/2'
'x,-y+1/2,z+1/2'
loop_
_atom_site_label
_atom_site_type_symbol
_atom_site_fract_x
_atom_site_fract_y
_atom_site_fract_z
_atom_site_occupancy
V1 V 0.000 0.000 0.000 1
V2 V 0.391 0.013 0.347 1
O1 O 0.290 0.198 0.499 1
O2 O 0.363 0.686 0.670 1
F1 F 0.034 0.707 0.329 1
```


(12)
V3O5F after structural relaxation. Source: the Alexandria database, functional PBEsol.

Properties
ΔE to the lowest computed polymorph in meV per atom: 4
Raw formation energy in eV per atom: -2.474

CIF file:
```
data_V3O5F
_cell_length_a 2.836
_cell_length_b 4.598
_cell_length_c 13.798
_cell_angle_alpha 90.00
_cell_angle_beta 90.00
_cell_angle_gamma 90.00
_space_group_name_H-M_alt 'P m n 21'
_space_group_IT_number 31
loop_
_space_group_symop_operation_xyz
'x,y,z'
'-x+1/2,-y,z+1/2'
'-x,y,z'
'x+1/2,-y,z+1/2'
loop_
_atom_site_label
_atom_site_type_symbol
_atom_site_fract_x
_atom_site_fract_y
_atom_site_fract_z
_atom_site_occupancy
V1 V 0.000 0.206 0.000 1
V2 V 0.000 0.213 0.315 1
V3 V 0.000 0.286 0.657 1
O1 O 0.000 0.522 0.224 1
O2 O 0.000 0.570 0.555 1
O3 O 0.000 0.926 0.090 1
O4 O 0.000 0.953 0.422 1
O5 O 0.000 0.978 0.755 1
F1 F 0.000 0.554 0.889 1
```


Copy entry 4 word for word.
V4O3F5 after structural relaxation. Source: the Alexandria database, functional PBEsol.

Properties
Raw formation energy in eV per atom: -2.484

CIF file:
```
data_V4O3F5
_cell_length_a 6.040
_cell_length_b 6.820
_cell_length_c 6.414
_cell_angle_alpha 90.00
_cell_angle_beta 90.00
_cell_angle_gamma 90.00
_space_group_name_H-M_alt 'I m m 2'
_space_group_IT_number 44
loop_
_space_group_symop_operation_xyz
'x,y,z'
'-x,-y,z'
'-x,y,z'
'x,-y,z'
'x+1/2,y+1/2,z+1/2'
'-x+1/2,-y+1/2,z+1/2'
'-x+1/2,y+1/2,z+1/2'
'x+1/2,-y+1/2,z+1/2'
loop_
_atom_site_label
_atom_site_type_symbol
_atom_site_fract_x
_atom_site_fract_y
_atom_site_fract_z
_atom_site_occupancy
V1 V 0.000 0.000 0.000 1
V2 V 0.000 0.500 0.463 1
V3 V 0.232 0.500 0.959 1
O1 O 0.000 0.000 0.293 1
O2 O 0.000 0.500 0.170 1
O3 O 0.000 0.500 0.758 1
F1 F 0.000 0.000 0.679 1
F2 F 0.246 0.199 0.972 1
```


Q: Among the records above, which one has the lowest raw formation energy?
A: V4O3F9


Q: What is the formula in the eleventh record?
A: V3O4F2


Q: Which formula does entry 11 have?
A: V3O4F2